1.
# Mg5Zr

Crystalline Mg5Zr at its relaxed geometry (PBE-GGA, the Alexandria database).

POSCAR file:
```
Mg5Zr
1.0
2.233 -6.537 0.000
2.233 6.537 0.000
0.000 0.000 4.609
Mg Zr
5 1
Direct
0.000 0.000 0.000
0.169 0.831 0.500
0.339 0.661 0.000
0.661 0.339 0.000
0.831 0.169 0.500
0.500 0.500 0.500
```

Calculated values
Space-group type: Cmmm
ΔE_f (eV/atom): 0.030

***

2.
# MgGaGe3

Crystalline MgGaGe3 at its relaxed geometry (PBE-GGA, the Alexandria database).

POSCAR file:
```
MgGaGe3
1.0
5.027 0.000 0.000
0.000 5.027 0.000
0.000 0.000 5.027
Mg Ga Ge
1 1 3
Direct
0.000 0.000 0.000
0.500 0.500 0.500
0.000 0.000 0.500
0.000 0.500 0.000
0.500 0.000 0.000
```

Calculated values
Distance to the lowest polymorph of the same formula (eV/atom): 0.148
Space-group type: Pm-3m
ΔE_f (eV/atom): 0.681

***

3.
# Lu2AgPb

Crystalline Lu2AgPb at its relaxed geometry (PBE-GGA, the Alexandria database).

POSCAR file:
```
Lu2AgPb
1.0
1.727 0.997 10.874
-1.727 0.997 10.874
0.000 -1.994 10.874
Lu Ag Pb
2 1 1
Direct
0.096 0.096 0.096
0.904 0.904 0.904
0.500 0.500 0.500
0.000 0.000 0.000
```

Calculated values
Space-group type: R-3m
ΔE_f (eV/atom): 0.066

***

4.
# Na4UIr3S8

Crystalline Na4UIr3S8 at its relaxed geometry (PBE-GGA, the Alexandria database).

POSCAR file:
```
Na4UIr3S8
1.0
3.647 2.106 6.673
-3.647 2.106 6.673
0.000 -4.211 6.673
Na U Ir S
4 1 3 8
Direct
0.000 0.000 0.000
0.000 0.500 0.500
0.500 0.000 0.500
0.500 0.500 0.000
0.500 0.500 0.500
0.000 0.000 0.500
0.000 0.500 0.000
0.500 0.000 0.000
0.209 0.750 0.750
0.225 0.225 0.225
0.250 0.250 0.791
0.250 0.791 0.250
0.750 0.209 0.750
0.750 0.750 0.209
0.775 0.775 0.775
0.791 0.250 0.250
```

Calculated values
Space-group type: R-3m

***

5.
# Sb2RuAu

Crystalline Sb2RuAu at its relaxed geometry (PBE-GGA, the Alexandria database).

POSCAR file:
```
Sb2RuAu
1.0
2.957 -1.720 0.000
2.957 1.720 0.000
-2.018 0.000 8.126
Sb Ru Au
2 1 1
Direct
0.244 0.244 0.229
0.756 0.756 0.771
0.500 0.500 0.000
0.000 0.000 0.500
```

Calculated values
Distance to the lowest polymorph of the same formula (eV/atom): 0.018
Space-group type: C2/m

***

6.
# PdAuBr2

Crystalline PdAuBr2 at its relaxed geometry (PBE-GGA, the Alexandria database).

POSCAR file:
```
PdAuBr2
1.0
-3.079 3.079 5.967
3.079 -3.079 5.967
3.079 3.079 -5.967
Pd Au Br
2 2 4
Direct
0.000 0.000 0.000
0.750 0.250 0.500
0.250 0.750 0.500
0.500 0.500 0.000
0.109 0.625 0.984
0.375 0.359 0.484
0.641 0.125 0.016
0.875 0.891 0.516
```

Calculated values
Distance to the lowest polymorph of the same formula (eV/atom): 0.099
Space-group type: I-42d

***

7.
# HfMg5

Crystalline HfMg5 at its relaxed geometry (PBE-GGA, the Alexandria database).

POSCAR file:
```
HfMg5
1.0
2.493 -7.676 0.000
2.493 7.676 0.000
0.000 0.000 3.497
Hf Mg
1 5
Direct
0.000 0.000 0.000
0.166 0.834 0.500
0.341 0.659 0.000
0.500 0.500 0.500
0.659 0.341 0.000
0.834 0.166 0.500
```

Calculated values
Space-group type: Cmmm
ΔE_f (eV/atom): 0.110

***

8.
# PrGaPd3

Crystalline PrGaPd3 at its relaxed geometry (PBE-GGA, the Alexandria database).

POSCAR file:
```
PrGaPd3
1.0
-2.778 4.013 4.385
2.778 -4.013 4.385
2.778 4.013 -4.385
Pr Ga Pd
2 2 6
Direct
0.254 0.004 0.250
0.746 0.996 0.750
0.000 0.500 0.500
0.500 0.500 0.000
0.081 0.331 0.750
0.292 0.000 0.792
0.292 0.500 0.292
0.708 0.000 0.208
0.708 0.500 0.708
0.919 0.669 0.250
```

Calculated values
Distance to the lowest polymorph of the same formula (eV/atom): 0.000
Space-group type: Imma
ΔE_f (eV/atom): -0.692

***

Across the entries above, size of the total moment takes the values 0.000, 0.000, 0.000, 0.144, 0.000, 0.000, 0.000, 0.000 μB per atom, respectively.
Across the entries above, uncorrected energy takes the values -16.3, -15.1, -15.3, -89.1, -20.5, -22.3, -17.3, -53.7 eV/cell, respectively.